[1]
Crystalline Sm2BiSb4 at its relaxed geometry, computed with GGA-PBE.

- Electronic total energy: -34.1 eV per formula unit
- Space-group type: No. 115
- Fermi-level density of states: 0.40 states/eV/atom
- Magnetic moment: 0.00 Bohr magnetons per cell

```
data_Sm2BiSb4
_chemical_formula_sum 'Sm2 Bi1 Sb4'
_cell_length_a 4.363
_cell_length_b 4.363
_cell_length_c 11.463
_cell_angle_alpha 90.00
_cell_angle_beta 90.00
_cell_angle_gamma 90.00
_space_group_name_H-M_alt 'P 1'
_space_group_IT_number 1
loop_
_space_group_symop_operation_xyz
'x,y,z'
loop_
_atom_site_label
_atom_site_fract_x
_atom_site_fract_y
_atom_site_fract_z
Sm1 0.000 0.500 0.214
Sm2 0.500 0.000 0.786
Bi1 0.000 0.000 0.500
Sb1 0.000 0.000 0.000
Sb2 0.000 0.500 0.700
Sb3 0.500 0.000 0.300
Sb4 0.500 0.500 0.000
```



[2]
Crystalline Sm5Bi2Sb2 at its relaxed geometry, computed with GGA-PBE.

- Electronic total energy: -48.2 eV per formula unit
- Space-group type: No. 64
- ΔE to the lowest computed polymorph: 0.0 meV per atom
- Fermi-level density of states: 1.02 states/eV/atom
- Magnetic moment: 0.00 Bohr magnetons per cell

```
data_Sm5Bi2Sb2
_chemical_formula_sum 'Sm10 Bi4 Sb4'
_cell_length_a 8.973
_cell_length_b 8.973
_cell_length_c 8.397
_cell_angle_alpha 90.00
_cell_angle_beta 90.00
_cell_angle_gamma 55.37
_space_group_name_H-M_alt 'P 1'
_space_group_IT_number 1
loop_
_space_group_symop_operation_xyz
'x,y,z'
loop_
_atom_site_label
_atom_site_fract_x
_atom_site_fract_y
_atom_site_fract_z
Sm1 0.000 0.000 0.000
Sm2 0.028 0.707 0.660
Sm3 0.207 0.528 0.160
Sm4 0.293 0.972 0.660
Sm5 0.472 0.793 0.160
Sm6 0.500 0.500 0.500
Sm7 0.528 0.207 0.840
Sm8 0.707 0.028 0.340
Sm9 0.793 0.472 0.840
Sm10 0.972 0.293 0.340
Bi1 0.202 0.202 0.000
Bi2 0.298 0.298 0.500
Bi3 0.702 0.702 0.500
Bi4 0.798 0.798 0.000
Sb1 0.142 0.858 0.358
Sb2 0.358 0.642 0.858
Sb3 0.642 0.358 0.142
Sb4 0.858 0.142 0.642
```



Result set for calculated volume: 31.175, 30.904 Å³/atom, one per record in the order listed.